First-principles (PBE) data for an optimized crystal structure of Zn2Ga8Ir, as listed in Alexandria.

Results
The formation energy comes out at 0.002 eV per atom. For the density of states at the Fermi level, the calculation gives 6.698 states/eV per cell. The calculation puts the total energy at -3.2367 eV/atom.

abc: 10.918 6.557 6.095
angles: 90.00 91.02 90.00
Space group C2/m (No. 12)
Asymmetric unit:
Zn  0.117  0.000  0.150 [4 per cell]
Ga  0.119  0.500  0.918 [4 per cell]
Ga  0.132  0.309  0.477 [8 per cell]
Ga  0.190  0.000  0.768 [4 per cell]
Ir  0.000  0.000  0.500 [2 per cell]

=====

First-principles (PBE) data for an optimized crystal structure of ErSb2Au, as listed in Alexandria.

Results
For the density of states at the Fermi level, the calculation gives 8.691 states/eV per cell. Its formation energy from raw total energies is 0.3 eV/f.u. The calculation puts the total energy at -3.9472 eV/atom.

abc: 3.5823 3.5823 30.1522
angles: 90.00 90.00 120.00
Space group R-3m (No. 166, hexagonal axes)
Asymmetric unit:
Er  0.0000  0.0000  0.0000 [3 per cell]
Sb  0.0000  0.0000  0.1011 [6 per cell]
Au  0.0000  0.0000  0.5000 [3 per cell]

=====

First-principles (PBE) data for an optimized crystal structure of Ac2GdPb, as listed in Alexandria.

Results
The formation energy comes out at -0.200 eV per atom. For the density of states at the Fermi level, the calculation gives 5.787 states/eV per cell. The calculation puts the total energy at -6.7013 eV/atom.

abc: 4.484 4.484 7.366
angles: 90.00 90.00 90.00
Space group P4/mmm (No. 123)
Asymmetric unit:
Ac  0.000  0.000  0.234 [2 per cell]
Gd  0.500  0.500  0.500 [1 per cell]
Pb  0.500  0.500  0.000 [1 per cell]

=====

First-principles (PBE) data for an optimized crystal structure of TcNiCl2, as listed in Alexandria.

Results
For the density of states at the Fermi level, the calculation gives 16.546 states/eV per cell. Its formation energy from raw total energies is 2.9 eV/f.u. The calculation puts the total energy at -4.2427 eV/atom.

abc: 6.155 6.155 6.155
angles: 90.00 90.00 90.00
Space group Fm-3m (No. 225)
Asymmetric unit:
Tc  0.000  0.000  0.000 [4 per cell]
Ni  0.000  0.000  0.500 [4 per cell]
Cl  0.250  0.250  0.250 [8 per cell]

=====

First-principles (PBE) data for an optimized crystal structure of NaTlH6Rh, as listed in Alexandria.

Results
For the density of states at the Fermi level, the calculation gives 0.737 states/eV per cell. The calculation puts the total energy at -3.4980 eV/atom.

abc: 4.870 5.181 5.383
angles: 63.07 75.20 65.03
Space group P1 (No. 1)
Asymmetric unit:
Na  0.000  0.000  0.000 [1 per cell]
Tl  0.309  0.226  0.319 [1 per cell]
H  0.044  0.647  0.464 [1 per cell]
H  0.519  0.571  0.798 [1 per cell]
H  0.535  0.936  0.903 [1 per cell]
H  0.645  0.518  0.658 [1 per cell]
H  0.911  0.035  0.591 [1 per cell]
H  0.989  0.528  0.943 [1 per cell]
Rh  0.760  0.776  0.681 [1 per cell]

=====

First-principles (PBE) data for an optimized crystal structure of Er6TmTl4, as listed in Alexandria.

Results
The formation energy comes out at -0.110 eV per atom. For the density of states at the Fermi level, the calculation gives 19.935 states/eV per cell. The calculation puts the total energy at -3.8662 eV/atom.

abc: 6.336 6.336 16.516
angles: 90.00 90.00 90.00
Space group I-42m (No. 121)
Asymmetric unit:
Er  0.000  0.500  0.000 [4 per cell]
Er  0.236  0.236  0.179 [8 per cell]
Tm  0.000  0.000  0.500 [2 per cell]
Tl  0.244  0.244  0.365 [8 per cell]